Record 1
Compound: RbNa3P2Au2
Source: the Open Quantum Materials Database
Functional: PBE-GGA
Structure: optimized geometry

Output
VASP energy	-3.200	eV/atom
calculated volume	24.97	Å³/atom

Cell lengths 5.695, 6.123, 5.936 Å; angles 90.00, 105.24, 90.00 degrees
Element x y z (fractional)
Rb1 0.000 0.000 0.000
Na1 0.073 0.500 0.356
Na2 0.346 0.000 0.643
Na3 0.699 0.500 0.703
P1 0.272 0.500 0.900
P2 0.769 0.000 0.453
Au1 0.538 0.257 0.178
Au2 0.538 0.743 0.178



Record 2
Compound: SmGePd
Source: the Open Quantum Materials Database
Functional: PBE-GGA
Structure: optimized geometry

Output
VASP energy	-4.984	eV/atom
calculated volume	25.42	Å³/atom

Cell lengths 4.760, 4.760, 4.760 Å; angles 60.00, 60.00, 60.00 degrees
Element x y z (fractional)
Sm1 0.000 0.000 0.000
Ge1 0.750 0.750 0.750
Pd1 0.250 0.250 0.250



Record 3
Compound: NbAsSe5
Source: the Open Quantum Materials Database
Functional: PBE-GGA
Structure: optimized geometry

Output
VASP energy	-5.003	eV/atom
calculated volume	23.43	Å³/atom

Cell lengths 9.474, 3.601, 10.612 Å; angles 90.00, 115.02, 90.00 degrees
Element x y z (fractional)
Nb1 0.090 0.250 0.362
Nb2 0.910 0.750 0.638
As1 0.328 0.250 0.902
As2 0.672 0.750 0.098
Se1 0.112 0.250 0.628
Se2 0.127 0.750 0.913
Se3 0.208 0.750 0.243
Se4 0.320 0.750 0.491
Se5 0.498 0.750 0.838
Se6 0.502 0.250 0.162
Se7 0.680 0.250 0.509
Se8 0.792 0.250 0.757
Se9 0.873 0.250 0.087
Se10 0.888 0.750 0.372



Record 4
Compound: Na2ZrTl
Source: the Open Quantum Materials Database
Functional: PBE-GGA
Structure: optimized geometry

Output
VASP energy	-3.053	eV/atom
calculated volume	23.70	Å³/atom

Cell lengths 5.118, 5.118, 5.118 Å; angles 60.00, 60.00, 60.00 degrees
Element x y z (fractional)
Na1 0.000 0.000 0.000
Na2 0.250 0.250 0.250
Zr1 0.750 0.750 0.750
Tl1 0.500 0.500 0.500